1.
Material: LaV2Pd2
Method: DFT, PBE
State: optimized geometry

Unit cell a=3.6975 b=3.6975 c=7.3653 alpha=75.46 beta=75.46 gamma=90.00
Fractional coordinates of all 5 atoms:
La  0.0000  0.0000  0.0000
Pd  0.3927  0.3927  0.2146
Pd  0.6073  0.6073  0.7854
V  0.7500  0.2500  0.5000
V  0.2500  0.7500  0.5000

## Properties
Energy relative to the elements   -134.8 meV per atom
Theoretical density   8.00 g/cm3
ΔE to the lowest computed polymorph   0.000 eV per atom
Spin magnetization   0.00 μB per formula unit

2.
Material: SmZnGe2
Method: DFT, PBE
State: optimized geometry

Unit cell a=4.1740 b=4.3979 c=4.3979 alpha=90.00 beta=90.00 gamma=90.00
Fractional coordinates of all 4 atoms:
Ge  0.0000  0.0000  0.5000
Ge  0.0000  0.5000  0.0000
Zn  0.5000  0.0000  0.0000
Sm  0.5000  0.5000  0.5000

## Properties
Energy relative to the elements   -434.4 meV per atom
Theoretical density   7.43 g/cm3
Spin magnetization   0.00 μB per formula unit

3.
Material: La2Nb2Ga
Method: DFT, PBE
State: optimized geometry

Unit cell a=7.2126 b=7.2126 c=4.7024 alpha=90.00 beta=90.00 gamma=90.00
Fractional coordinates of all 10 atoms:
Nb  0.3670  0.8670  0.0000
Nb  0.8670  0.6330  0.0000
Nb  0.6330  0.1330  0.0000
Nb  0.1330  0.3670  0.0000
Ga  0.0000  0.0000  0.0000
Ga  0.5000  0.5000  0.0000
La  0.1818  0.6818  0.5000
La  0.6818  0.8182  0.5000
La  0.8182  0.3182  0.5000
La  0.3182  0.1818  0.5000

## Properties
Energy relative to the elements   74.4 meV per atom
Theoretical density   7.24 g/cm3
Spin magnetization   0.00 μB per formula unit

4.
Material: Pr2TlBi
Method: DFT, PBE
State: optimized geometry

Unit cell a=4.4284 b=4.4423 c=8.5553 alpha=104.91 beta=90.00 gamma=119.90
Fractional coordinates of all 4 atoms:
Pr  0.2544  0.5088  0.2622
Pr  0.7456  0.4912  0.7378
Tl  0.5000  0.0000  0.0000
Bi  0.0000  0.0000  0.5000

## Properties
Energy relative to the elements   -573.4 meV per atom
Theoretical density   8.29 g/cm3
ΔE to the lowest computed polymorph   0.072 eV per atom
Spin magnetization   0.00 μB per formula unit

5.
Material: Pm8CuRu2
Method: DFT, PBE
State: optimized geometry

Unit cell a=5.0665 b=6.9517 c=9.2826 alpha=105.18 beta=105.84 gamma=90.00
Fractional coordinates of all 11 atoms:
Pm  0.4058  0.5411  0.8116
Pm  0.6706  0.9711  0.3411
Pm  0.7977  0.6806  0.5954
Pm  0.9636  0.2170  0.9273
Pm  0.2023  0.3194  0.4046
Pm  0.3294  0.0289  0.6589
Pm  0.5942  0.4589  0.1884
Pm  0.0364  0.7830  0.0727
Cu  0.5000  0.0000  0.0000
Ru  0.8104  0.2865  0.6208
Ru  0.1896  0.7135  0.3792

## Properties
Energy relative to the elements   -123.6 meV per atom
Theoretical density   7.82 g/cm3
ΔE to the lowest computed polymorph   0.000 eV per atom
Spin magnetization   0.00 μB per formula unit

6.
Material: CdCu2SiTe4
Method: DFT, PBE
State: optimized geometry

Unit cell a=7.4149 b=7.4149 c=7.4149 alpha=130.55 beta=130.55 gamma=72.52
Fractional coordinates of all 8 atoms:
Cd  0.0000  0.0000  0.0000
Cu  0.7500  0.2500  0.5000
Cu  0.2500  0.7500  0.5000
Si  0.5000  0.5000  0.0000
Te  0.8645  0.4056  0.0000
Te  0.4056  0.8645  0.0000
Te  0.1355  0.1355  0.5412
Te  0.5944  0.5944  0.4588

## Properties
E_form (uncorrected)   -0.177 eV per atom
Theoretical density   5.62 g/cm3
Spin magnetization   0.00 μB per formula unit

7.
Material: Dy2PdBr2
Method: DFT, PBE
State: optimized geometry

Unit cell a=3.9776 b=3.9776 c=11.3929 alpha=79.95 beta=79.95 gamma=60.00
Fractional coordinates of all 5 atoms:
Dy  0.6168  0.6168  0.1495
Dy  0.3832  0.3832  0.8505
Pd  0.0000  0.0000  0.0000
Br  0.2262  0.2262  0.3213
Br  0.7738  0.7738  0.6787

## Properties
E_form (uncorrected)   -1.327 eV per atom
Theoretical density   6.42 g/cm3
Spin magnetization   0.00 μB per formula unit

8.
Material: BaLiHo
Method: DFT, PBE
State: optimized geometry

Unit cell a=4.7150 b=4.7150 c=11.0287 alpha=103.17 beta=103.17 gamma=86.35
Fractional coordinates of all 6 atoms:
Ho  0.2540  0.2540  0.5009
Ho  0.7460  0.7460  0.4991
Ba  0.6741  0.6741  0.8497
Ba  0.3259  0.3259  0.1503
Li  0.1213  0.1213  0.7472
Li  0.8787  0.8787  0.2528

## Properties
Energy relative to the elements   320.6 meV per atom
Theoretical density   4.42 g/cm3
Spin magnetization   0.00 μB per formula unit

9.
Material: Sc2H6Se3O12
Method: DFT, PBE
State: optimized geometry

Unit cell a=9.0200 b=9.0200 c=9.0200 alpha=65.65 beta=65.65 gamma=65.65
Fractional coordinates of all 46 atoms:
Sc  0.1571  0.1571  0.1571
Sc  0.3924  0.3924  0.3924
Sc  0.8924  0.8924  0.8924
Sc  0.6571  0.6571  0.6571
H  0.8817  0.2051  0.9169
H  0.8653  0.2550  0.7320
H  0.7550  0.3653  0.2320
H  0.7051  0.3817  0.4169
H  0.3653  0.2320  0.7550
H  0.3817  0.4169  0.7051
H  0.9169  0.8817  0.2051
H  0.7320  0.8653  0.2550
H  0.4169  0.7051  0.3817
H  0.2550  0.7320  0.8653
H  0.2320  0.7550  0.3653
H  0.2051  0.9169  0.8817
Se  0.9969  0.4429  0.3881
Se  0.9429  0.4969  0.8881
Se  0.4429  0.3881  0.9969
Se  0.8881  0.9429  0.4969
Se  0.4969  0.8881  0.9429
Se  0.3881  0.9969  0.4429
O  0.8920  0.1574  0.8317
O  0.9441  0.3081  0.0560
O  0.4914  0.1454  0.3853
O  0.8081  0.4441  0.5560
O  0.3663  0.0243  0.2519
O  0.3081  0.0560  0.9441
O  0.8853  0.6454  0.9914
O  0.7519  0.5243  0.8663
O  0.6574  0.3920  0.3317
O  0.3920  0.3317  0.6574
O  0.8663  0.7519  0.5243
O  0.9914  0.8853  0.6454
O  0.4441  0.5560  0.8081
O  0.3853  0.4914  0.1454
O  0.2519  0.3663  0.0243
O  0.8317  0.8920  0.1574
O  0.0243  0.2519  0.3663
O  0.1454  0.3853  0.4914
O  0.5560  0.8081  0.4441
O  0.3317  0.6574  0.3920
O  0.5243  0.8663  0.7519
O  0.6454  0.9914  0.8853
O  0.1574  0.8317  0.8920
O  0.0560  0.9441  0.3081

## Properties
Calculated total energy   -5.973 eV per atom
Theoretical density   2.99 g/cm3
Spin magnetization   0.00 μB per formula unit

10.
Material: PrGa2PdRh
Method: DFT, PBE
State: optimized geometry

Unit cell a=4.2367 b=4.2367 c=6.0996 alpha=110.32 beta=110.32 gamma=90.00
Fractional coordinates of all 5 atoms:
Pr  0.0000  0.0000  0.0000
Ga  0.6230  0.6230  0.2461
Ga  0.3770  0.3770  0.7539
Pd  0.7500  0.2500  0.5000
Rh  0.2500  0.7500  0.5000

## Properties
Energy relative to the elements   -787.7 meV per atom
Theoretical density   8.53 g/cm3
Spin magnetization   0.00 μB per formula unit

11.
Material: Cs2ZnCdAu
Method: DFT, PBE
State: optimized geometry

Unit cell a=6.9021 b=6.9021 c=5.0739 alpha=90.00 beta=90.00 gamma=90.00
Fractional coordinates of all 5 atoms:
Cs  0.0000  0.5000  0.0000
Cs  0.5000  0.0000  0.0000
Zn  0.0000  0.0000  0.5000
Au  0.0000  0.0000  0.0000
Cd  0.5000  0.5000  0.5000

## Properties
Energy relative to the elements   -51.9 meV per atom
Theoretical density   4.40 g/cm3
ΔE to the lowest computed polymorph   0.000 eV per atom
Spin magnetization   0.00 μB per formula unit

12.
Material: MnZnCo2
Method: DFT, PBE
State: optimized geometry

Unit cell a=2.6963 b=3.4331 c=5.2869 alpha=90.00 beta=90.00 gamma=90.00
Each line ends with the local moment (μB).
Fractional coordinates of all 4 atoms:
Zn  0.5000  0.5000  0.7575  -0.04
Mn  0.0000  0.0000  0.4874  3.19
Co  0.0000  0.0000  0.0147  1.51
Co  0.5000  0.5000  0.2404  1.67

## Properties
Energy relative to the elements   38.8 meV per atom
Theoretical density   8.08 g/cm3
Spin magnetization   6.37 μB per formula unit

13.
Material: Np2GaRu3
Method: DFT, PBE
State: optimized geometry

Unit cell a=5.6247 b=5.6247 c=7.5825 alpha=90.00 beta=90.00 gamma=120.00
Each line ends with the local moment (μB).
Fractional coordinates of all 12 atoms:
Np  0.6667  0.3333  0.4331  3.26
Np  0.3333  0.6667  0.5669  3.26
Np  0.3333  0.6667  0.9331  3.26
Np  0.6667  0.3333  0.0669  3.26
Ga  0.0000  0.0000  0.5000  0.02
Ga  0.0000  0.0000  0.0000  0.02
Ru  0.1725  0.3450  0.2500  -0.44
Ru  0.3450  0.1725  0.7500  -0.44
Ru  0.8275  0.6550  0.7500  -0.44
Ru  0.1725  0.8275  0.2500  -0.44
Ru  0.8275  0.1725  0.7500  -0.44
Ru  0.6550  0.8275  0.2500  -0.44

## Properties
Energy relative to the elements   -184.9 meV per atom
Theoretical density   13.54 g/cm3
ΔE to the lowest computed polymorph   0.000 eV per atom
Spin magnetization   5.53 μB per formula unit

14.
Material: PmAgO2
Method: DFT, PBE
State: optimized geometry

Unit cell a=3.0538 b=3.0538 c=6.2449 alpha=90.00 beta=90.00 gamma=90.00
Fractional coordinates of all 4 atoms:
O  0.0000  0.0000  0.7960
O  0.0000  0.0000  0.2040
Ag  0.5000  0.5000  0.5000
Pm  0.5000  0.5000  0.0000

## Properties
E_form (uncorrected)   -1.550 eV per atom
Theoretical density   8.12 g/cm3
ΔE to the lowest computed polymorph   0.621 eV per atom
Spin magnetization   0.00 μB per formula unit

15.
Material: CoIr2Se
Method: DFT, PBE
State: optimized geometry

Unit cell a=2.7697 b=2.7697 c=9.1034 alpha=90.00 beta=90.00 gamma=121.12
Each line ends with the local moment (μB).
Fractional coordinates of all 4 atoms:
Co  0.5000  0.5000  0.7524  1.52
Ir  0.0000  0.0000  0.9868  0.14
Ir  0.5000  0.5000  0.2385  -0.13
Se  0.0000  0.0000  0.5223  0.02

## Properties
E_form (uncorrected)   0.514 eV per atom
Theoretical density   14.51 g/cm3
Spin magnetization   1.54 μB per formula unit

16.
Material: Rb2AcCeS4
Method: DFT, PBE
State: optimized geometry

Unit cell a=4.3636 b=7.5609 c=8.1048 alpha=108.10 beta=90.00 gamma=90.00
Each line ends with the local moment (μB).
Fractional coordinates of all 8 atoms:
Rb  0.5000  0.0000  0.5000  0.00
Rb  0.0000  0.5000  0.5000  0.00
Ac  0.0000  0.0000  0.0000  0.00
Ce  0.5000  0.5000  0.0000  0.96
S  0.5000  0.2436  0.2018  -0.01
S  0.5000  0.7564  0.7982  -0.01
S  0.0000  0.2770  0.8032  -0.01
S  0.0000  0.7230  0.1968  -0.01

## Properties
E_form (uncorrected)   -1.813 eV per atom
Theoretical density   4.35 g/cm3
Spin magnetization   1.00 μB per formula unit

17.
Material: BaCaRe2O8
Method: DFT, PBE
State: optimized geometry

Unit cell a=5.9743 b=5.9743 c=7.6551 alpha=90.00 beta=90.00 gamma=120.00
Each line ends with the local moment (μB).
Fractional coordinates of all 12 atoms:
Ba  0.0000  0.0000  0.0000  0.01
Ca  0.0000  0.0000  0.5000  0.02
Re  0.6667  0.3333  0.2236  0.65
Re  0.3333  0.6667  0.7764  0.65
O  0.3333  0.6667  0.0104  0.08
O  0.3332  0.1666  0.2938  0.04
O  0.8334  0.1666  0.2938  0.04
O  0.6667  0.3333  0.9896  0.08
O  0.1666  0.8334  0.7062  0.04
O  0.6668  0.8334  0.7062  0.04
O  0.1666  0.3332  0.7062  0.04
O  0.8334  0.6668  0.2938  0.04

## Properties
E_form (uncorrected)   -2.058 eV per atom
Theoretical density   4.76 g/cm3
Spin magnetization   2.01 μB per formula unit

18.
Material: ScIBr3
Method: DFT, PBE
State: optimized geometry

Unit cell a=3.6770 b=6.9751 c=16.2452 alpha=90.00 beta=103.05 gamma=90.00
Fractional coordinates of all 10 atoms:
I  0.0022  0.2500  0.5022
I  0.9978  0.7500  0.4978
Sc  0.2791  0.2500  0.7801
Sc  0.7209  0.7500  0.2199
Br  0.7360  0.5030  0.7369
Br  0.2640  0.4970  0.2631
Br  0.7360  0.9970  0.7369
Br  0.2640  0.0030  0.2631
Br  0.4318  0.2500  0.9330
Br  0.5682  0.7500  0.0670

## Properties
E_form (uncorrected)   -1.211 eV per atom
Theoretical density   3.37 g/cm3
ΔE to the lowest computed polymorph   0.126 eV per atom
Spin magnetization   0.00 μB per formula unit

19.
Material: Y2ErIn3
Method: DFT, PBE
State: optimized geometry

Unit cell a=6.3990 b=6.5060 c=8.6014 alpha=102.60 beta=111.84 gamma=90.00
Fractional coordinates of all 12 atoms:
Y  0.5567  0.5873  0.3410
Y  0.7842  0.0873  0.3410
Y  0.2158  0.9127  0.6590
Y  0.4433  0.4127  0.6590
Er  0.8706  0.7500  0.0000
Er  0.1294  0.2500  0.0000
In  0.6310  0.2500  0.0000
In  0.3690  0.7500  0.0000
In  0.2793  0.0515  0.3261
In  0.9532  0.4485  0.6739
In  0.0468  0.5515  0.3261
In  0.7207  0.9485  0.6739

## Properties
Energy relative to the elements   -422.4 meV per atom
Theoretical density   7.09 g/cm3
ΔE to the lowest computed polymorph   0.056 eV per atom
Spin magnetization   0.00 μB per formula unit

20.
Material: GaMo2HIr
Method: DFT, PBE
State: optimized geometry

Unit cell a=3.8449 b=3.8449 c=4.2992 alpha=90.00 beta=90.00 gamma=90.00
Fractional coordinates of all 5 atoms:
H  0.0000  0.0000  0.0000
Mo  0.0000  0.5000  0.0000
Mo  0.5000  0.0000  0.0000
Ir  0.0000  0.0000  0.5000
Ga  0.5000  0.5000  0.5000

## Properties
Calculated total energy   -7.347 eV per atom
Theoretical density   11.88 g/cm3
Spin magnetization   0.00 μB per formula unit

21.
Material: SrLi2AlZn
Method: DFT, PBE
State: optimized geometry

Unit cell a=5.9036 b=5.7643 c=5.9036 alpha=90.00 beta=90.00 gamma=90.00
Fractional coordinates of all 5 atoms:
Sr  0.0000  0.0000  0.0000
Zn  0.0000  0.5000  0.0000
Al  0.5000  0.5000  0.5000
Li  0.0000  0.0000  0.5000
Li  0.5000  0.0000  0.0000

## Properties
Energy relative to the elements   1020.7 meV per atom
Theoretical density   1.60 g/cm3
ΔE to the lowest computed polymorph   1.053 eV per atom
Spin magnetization   0.00 μB per formula unit

22.
Material: TiVAs2Se
Method: DFT, PBE
State: optimized geometry

Unit cell a=4.6915 b=4.6915 c=4.8897 alpha=90.00 beta=90.00 gamma=90.00
Each line ends with the local moment (μB).
Fractional coordinates of all 5 atoms:
As  0.0000  0.5000  0.0000  -0.07
As  0.5000  0.0000  0.0000  -0.07
Ti  0.5000  0.5000  0.5000  1.59
Se  0.0000  0.0000  0.5000  -0.09
V  0.0000  0.0000  0.0000  0.37

## Properties
E_form (uncorrected)   0.265 eV per atom
Theoretical density   5.05 g/cm3
ΔE to the lowest computed polymorph   0.000 eV per atom
Spin magnetization   1.94 μB per formula unit

23.
Material: Pu2ZnAs
Method: DFT, PBE
State: optimized geometry

Unit cell a=5.0354 b=5.0354 c=5.0354 alpha=60.00 beta=60.00 gamma=60.00
Each line ends with the local moment (μB).
Fractional coordinates of all 4 atoms:
As  0.0000  0.0000  0.0000  -0.07
Zn  0.5000  0.5000  0.5000  0.12
Pu  0.2500  0.2500  0.2500  5.67
Pu  0.7500  0.7500  0.7500  5.67

## Properties
Energy relative to the elements   -430.9 meV per atom
Theoretical density   11.56 g/cm3
ΔE to the lowest computed polymorph   0.042 eV per atom
Spin magnetization   12.53 μB per formula unit

24.
Material: RbTl4N2
Method: DFT, PBE
State: optimized geometry

Unit cell a=3.7309 b=3.9433 c=26.6682 alpha=139.81 beta=90.00 gamma=90.00
Fractional coordinates of all 7 atoms:
Rb  0.0000  0.5000  0.0000
Tl  0.5000  0.8468  0.1641
Tl  0.0000  0.0730  0.7235
Tl  0.5000  0.1532  0.8359
Tl  0.0000  0.9270  0.2765
N  0.5000  0.3931  0.4697
N  0.5000  0.6069  0.5303

## Properties
E_form (uncorrected)   0.076 eV per atom
Theoretical density   6.11 g/cm3
Spin magnetization   0.00 μB per formula unit